First-principles (PBE) data for NaDy2NpSe4 after structural relaxation, as listed in Alexandria.

Output
Formation energy (no corrections): -1.5294 eV/atom
Mass density: 7.57 g/cm3
E_tot: -0.22802 hartree per atom
M_tot: 4.6 μB per formula unit
Fermi-level density of states: 1.70 states/eV/atom

Lattice parameters (Å, degrees): 7.147 4.091 7.160 90.00 109.23 90.00
Space group P2/m (No. 10)
Inequivalent atoms, fractional coordinates:
Na  0.000  0.000  0.000 x1
Dy  0.000  0.500  0.500 x1
Dy  0.500  0.000  0.500 x1
Np  0.500  0.500  0.000 x1
Se  0.248  0.000  0.746 x2
Se  0.253  0.500  0.258 x2